TiNbSb | PBE | optimized geometry

```
data_TiNbSb
_cell_length_a 3.560
_cell_length_b 3.560
_cell_length_c 8.906
_cell_angle_alpha 90.00
_cell_angle_beta 90.00
_cell_angle_gamma 90.00
_space_group_name_H-M_alt 'P 4/n m m'
_space_group_IT_number 129
loop_
_space_group_symop_operation_xyz
'x,y,z'
'-x,-y,-z'
'-y+1/2,x,z'
'y+1/2,-x,-z'
'-x+1/2,-y+1/2,z'
'x+1/2,y+1/2,-z'
'y,-x+1/2,z'
'-y,x+1/2,-z'
'x+1/2,-y,-z'
'-x+1/2,y,z'
'-y,-x,-z'
'y,x,z'
'-x,y+1/2,-z'
'x,-y+1/2,z'
'y+1/2,x+1/2,-z'
'-y+1/2,-x+1/2,z'
loop_
_atom_site_label
_atom_site_type_symbol
_atom_site_fract_x
_atom_site_fract_y
_atom_site_fract_z
Ti1 Ti 0.250 0.250 0.081
Nb1 Nb 0.250 0.250 0.420
Sb1 Sb 0.250 0.250 0.759
```

Summary:
* formation energy (no corrections): -0.316 eV/atom
* mass density: 7.72 g/cm3
* DOS at the Fermi energy: 1.8 states/eV/f.u.
* magnetization: 0.00 μB/atom